This record from the Open Quantum Materials Database describes an optimized crystal structure of Ta5Al. The functional is PBE.

## Properties
- total magnetization (μB per cell) = 0.03
- raw total energy (eV per cell) = -250.7
- E above lowest polymorph (meV/atom) = 5
- density (Mg/m³) = 14.21

Structure (CIF):
```
data_Ta5Al
_cell_length_a 5.322
_cell_length_b 5.322
_cell_length_c 17.754
_cell_angle_alpha 90.00
_cell_angle_beta 90.00
_cell_angle_gamma 120.00
_space_group_name_H-M_alt 'P 1'
_space_group_IT_number 1
loop_
_space_group_symop_operation_xyz
'x,y,z'
loop_
_atom_site_label
_atom_site_type_symbol
_atom_site_fract_x
_atom_site_fract_y
_atom_site_fract_z
Ta1 Ta 0.163 0.837 0.250
Ta2 Ta 0.333 0.667 0.655
Ta3 Ta 0.837 0.673 0.750
Ta4 Ta 0.000 0.500 0.000
Ta5 Ta 0.000 0.500 0.500
Ta6 Ta 0.333 0.667 0.845
Ta7 Ta 0.500 0.500 0.500
Ta8 Ta 0.673 0.837 0.250
Ta9 Ta 0.163 0.327 0.250
Ta10 Ta 0.500 0.000 0.500
Ta11 Ta 0.667 0.333 0.155
Ta12 Ta 0.500 0.500 0.000
Ta13 Ta 0.000 0.000 0.905
Ta14 Ta 0.837 0.163 0.750
Ta15 Ta 0.000 0.000 0.095
Ta16 Ta 0.667 0.333 0.345
Ta17 Ta 0.000 0.000 0.595
Ta18 Ta 0.327 0.163 0.750
Ta19 Ta 0.500 0.000 0.000
Ta20 Ta 0.000 0.000 0.405
Al1 Al 0.333 0.667 0.126
Al2 Al 0.667 0.333 0.874
Al3 Al 0.333 0.667 0.374
Al4 Al 0.667 0.333 0.626
```